# 1
## SiPd2F (SCAN)

Data for a PBEsol-optimized structure of SiPd2F.

a b c (Å): 5.8497 5.8497 5.8497
angles (deg): 90.00 90.00 90.00
Space group Fm-3m (No. 225)
One atom of each set of equivalent atoms:
Si (0.0000, 0.0000, 0.0000) x4
Pd (0.2500, 0.2500, 0.2500) x8
F (0.0000, 0.0000, 0.5000) x4

***

# 2
## SiTePdF2 (SCAN)

Data for a PBEsol-optimized structure of SiTePdF2.

a b c (Å): 4.1142 4.1142 5.3844
angles (deg): 90.00 90.00 90.00
Space group P4/mmm (No. 123)
One atom of each set of equivalent atoms:
Si (0.0000, 0.0000, 0.0000) x1
Te (0.5000, 0.5000, 0.0000) x1
Pd (0.5000, 0.5000, 0.5000) x1
F (0.0000, 0.5000, 0.5000) x2

***

# 3
## TlSi2PdF (SCAN)

Data for a PBEsol-optimized structure of TlSi2PdF.

a b c (Å): 4.4608 4.4608 5.9799
angles (deg): 90.00 90.00 90.00
Space group P4/mmm (No. 123)
One atom of each set of equivalent atoms:
Tl (0.0000, 0.0000, 0.0000) x1
Si (0.0000, 0.5000, 0.5000) x2
Pd (0.0000, 0.0000, 0.5000) x1
F (0.5000, 0.5000, 0.0000) x1

***

# 4
## SnPdF2 (SCAN)

Data for a PBEsol-optimized structure of SnPdF2.

a b c (Å): 6.0501 6.0501 6.0501
angles (deg): 90.00 90.00 90.00
Space group Fm-3m (No. 225)
One atom of each set of equivalent atoms:
Sn (0.0000, 0.0000, 0.0000) x4
Pd (0.0000, 0.0000, 0.5000) x4
F (0.2500, 0.2500, 0.2500) x8

***

E in eV/atom, matching the order above: -20.5548 -17.9729 -25.7913 -20.0156
Magnetization in μB/f.u., matching the order above: 0.00 0.00 0.00 0.00